# 1
Density functional theory data (PBEsol) for a geometry-optimized TaPdC2 structure.

Cell: 4.6825 4.6825 5.8570 Å, 113.56 113.56 90.00°
With the nearest neighbours (Å) after each atom.
Sites, in units of the cell vectors:
Ta: 0.0000 0.0000 0.0000  4 C 2.05
Ta: 0.2500 0.7500 0.5000  4 C 2.05
C: 0.6250 0.6233 0.7500  2 Pd 2.04, 2 Ta 2.05
C: 0.1250 0.1267 0.7500  2 Pd 2.04, 2 Ta 2.05
C: 0.8733 0.3750 0.2500  2 Pd 2.04, 2 Ta 2.05
C: 0.3767 0.8750 0.2500  2 Pd 2.04, 2 Ta 2.05
Pd: 0.7500 0.2500 0.5000  4 C 2.04
Pd: 0.5000 0.5000 0.0000  4 C 2.04

Output
For the formation energy, the calculation gives 60 kJ/mol of atoms.

=====

# 2
Density functional theory data (PBEsol) for a geometry-optimized TaCu4Au structure.

Cell: 4.7849 4.7849 4.7849 Å, 60.00 60.00 60.00°
With the nearest neighbours (Å) after each atom.
Sites, in units of the cell vectors:
Ta: 0.7500 0.7500 0.7500  12 Cu 2.81, 4 Au 2.93
Cu: 0.3751 0.3751 0.3751  6 Cu 2.39
Cu: 0.3751 0.3751 0.8746  6 Cu 2.39
Cu: 0.3751 0.8746 0.3751  6 Cu 2.39
Cu: 0.8746 0.3751 0.3751  6 Cu 2.39
Au: 0.0000 0.0000 0.0000  12 Cu 2.81, 4 Ta 2.93

Output
For the formation energy, the calculation gives -3 kJ/mol of atoms.